HgSbMoI2: relaxed, GGA-PBEsol.

The structure belongs to space group P4/mmm (No. 123); the cell edges are 5.696, 5.696 and 5.519 Å and the angles 90.00°, 90.00° and 90.00°. The inequivalent atoms are Hg at (0.000, 0.000, 0.000), Sb at (0.000, 0.000, 0.500), Mo at (0.500, 0.500, 0.500) and I at (0.000, 0.500, 0.000).

The value obtained for the formation energy (no corrections) is 1.3376 eV per atom. The total magnetic moment comes out at 0.727 μB per atom. The calculation puts the total energy at -2.7475 eV/atom. The distance to the lowest polymorph of the same formula is 192 meV per atom.